TcNiC2F | PBE with a Hubbard U | optimized geometry

Properties
density	6.154	g/cm3
uncorrected energy	-4.496	eV per atom
spin magnetization	2.16	μB/cell
Fermi-level density of states	2.0	states/eV per cell

POSCAR file:
```
TcNiC2F
1.0
3.925 0.000 0.000
0.000 3.925 0.000
0.000 0.000 3.498
Tc Ni C F
1 1 2 1
direct
0.000 0.000 0.000
0.500 0.500 0.000
0.000 0.500 0.500
0.500 0.000 0.500
0.500 0.500 0.500
```